Entry 1:
Here is a relaxed structure of ZrFe2H from the Alexandria database. Energies are from PBE-GGA.

Total magnetic moment = 2.69 μB/f.u.
Energy relative to the lowest polymorph listed for this composition = 872 meV/atom

abc: 5.868 5.868 5.868
angles: 90.00 90.00 90.00
Fractional coordinates of all 16 atoms:
Zr1 0.000 0.000 0.000
Zr2 0.000 0.500 0.500
Zr3 0.500 0.000 0.500
Zr4 0.500 0.500 0.000
Fe1 0.250 0.250 0.250
Fe2 0.250 0.250 0.750
Fe3 0.250 0.750 0.250
Fe4 0.250 0.750 0.750
Fe5 0.750 0.250 0.250
Fe6 0.750 0.250 0.750
Fe7 0.750 0.750 0.250
Fe8 0.750 0.750 0.750
H1 0.000 0.000 0.500
H2 0.000 0.500 0.000
H3 0.500 0.000 0.000
H4 0.500 0.500 0.500

---

Entry 2:
Here is a relaxed structure of Zr2CuAu from the Alexandria database. Energies are from PBE-GGA.

E_form = -0.192 eV per atom
Total magnetic moment = 0.00 μB/f.u.

abc: 4.075 4.075 9.040
angles: 90.00 90.00 90.00
Fractional coordinates of all 8 atoms:
Zr1 0.000 0.000 0.000
Zr2 0.000 0.500 0.250
Zr3 0.500 0.000 0.750
Zr4 0.500 0.500 0.500
Cu1 0.000 0.000 0.500
Cu2 0.500 0.500 0.000
Au1 0.000 0.500 0.750
Au2 0.500 0.000 0.250

---

Entry 3:
Here is a relaxed structure of PaTa2V from the Alexandria database. Energies are from PBE-GGA.

E_form = 0.199 eV per atom
Total magnetic moment = 0.00 μB/f.u.
Energy relative to the lowest polymorph listed for this composition = 0 meV/atom

abc: 3.137 3.137 7.785
angles: 90.00 90.00 90.00
Fractional coordinates of all 4 atoms:
Pa1 0.000 0.000 0.000
Ta1 0.500 0.500 0.300
Ta2 0.500 0.500 0.700
V1 0.000 0.000 0.500